DFT (PBE-GGA) results for a geometry-optimized Ba2ZnCdSe2O2 structure.

Values from the calculation:
* SG: P3m1, No. 156
* electronic total energy: -4.55 eV per atom

Unit cell a=4.238 b=4.238 c=12.618 alpha=90.00 beta=90.00 gamma=120.00
Positions (direct):
Ba (0.000, 0.000, 0.000)
Ba (0.333, 0.667, 0.519)
Zn (0.667, 0.333, 0.731)
Cd (0.667, 0.333, 0.234)
Se (0.000, 0.000, 0.321)
Se (0.333, 0.667, 0.800)
O (0.667, 0.333, 0.064)
O (0.667, 0.333, 0.580)